First-principles (PBE) data for a geometry-optimized Ba2ZrSeS3 structure, as listed in the Alexandria database.

Properties
The total magnetization is 0.0 Bohr magnetons per cell. The calculation puts the total energy at -5.85 eV per atom. The value obtained for the formation energy from raw total energies is -1811 meV per atom. The calculation puts the volume at 29.75 A^3/atom. As for the calculated density: 4.3 g/cm3.

Cell: 8.7274 8.7274 8.7274 Å, 146.58 145.16 49.05°
Closest atoms and distances in Å follow each position.
Atoms (fractional coordinates):
Ba  0.1434  0.1434  0.0000  1 S 3.07, 2 Se 3.39
Ba  0.8566  0.8566  0.0000  1 S 3.07, 2 Se 3.39
Zr  0.5000  0.5000  0.0000  4 S 2.51-2.59, 2 Se 2.61
Se  0.0000  0.5000  0.5000  2 Zr 2.61
S  0.3368  0.3368  0.0000  1 Zr 2.59
S  0.5000  0.0000  0.5000  2 Zr 2.51
S  0.6632  0.6632  0.0000  1 Zr 2.59